one.
The following is a PBE-GGA calculation of a relaxed TbNd2Sc3 crystal, from Alexandria.

Output
Size of the total moment ... 0.0 Bohr magnetons per cell
Symmetry ... No. 12

CIF file:
```
data_TbNd2Sc3
_cell_length_a 8.5300
_cell_length_b 8.5300
_cell_length_c 9.7326
_cell_angle_alpha 121.40
_cell_angle_beta 121.40
_cell_angle_gamma 36.45
_symmetry_space_group_name_H-M 'P 1'
_symmetry_Int_Tables_number 1
_symmetry_space_group_name_Hall 'P 1'
loop_
_atom_site_label
_atom_site_type_symbol
_atom_site_fract_x
_atom_site_fract_y
_atom_site_fract_z
_atom_site_occupancy
Tb1 Tb 0.1312 0.1312 0.1473 1
Tb2 Tb 0.8688 0.8688 0.8527 1
Nd1 Nd 0.2210 0.2210 0.8628 1
Nd2 Nd 0.4861 0.4861 0.1660 1
Nd3 Nd 0.5139 0.5139 0.8340 1
Nd4 Nd 0.7790 0.7790 0.1372 1
Sc1 Sc 0.0245 0.0245 0.3740 1
Sc2 Sc 0.2581 0.2581 0.5746 1
Sc3 Sc 0.3828 0.3828 0.4032 1
Sc4 Sc 0.6172 0.6172 0.5968 1
Sc5 Sc 0.7419 0.7419 0.4254 1
Sc6 Sc 0.9755 0.9755 0.6260 1
```

two.
The following is a PBE-GGA calculation of a relaxed TbNd2Sc3 crystal, from Alexandria.

Output
Size of the total moment ... 0.0 Bohr magnetons per cell
Symmetry ... No. 123

CIF file:
```
data_TbNd2Sc3
_cell_length_a 3.5643
_cell_length_b 3.5643
_cell_length_c 13.6811
_cell_angle_alpha 90.00
_cell_angle_beta 90.00
_cell_angle_gamma 90.00
_symmetry_space_group_name_H-M 'P 1'
_symmetry_Int_Tables_number 1
_symmetry_space_group_name_Hall 'P 1'
loop_
_atom_site_label
_atom_site_type_symbol
_atom_site_fract_x
_atom_site_fract_y
_atom_site_fract_z
_atom_site_occupancy
Tb1 Tb 0.0000 0.0000 0.0000 1
Nd1 Nd 0.0000 0.0000 0.3319 1
Nd2 Nd 0.0000 0.0000 0.6681 1
Sc1 Sc 0.5000 0.5000 0.1637 1
Sc2 Sc 0.5000 0.5000 0.5000 1
Sc3 Sc 0.5000 0.5000 0.8363 1
```

Energies relative to the most stable structure are one 0.031; two 0.000, reported in eV/atom.

one.
The following is a PBE-GGA calculation of a relaxed Tb2Nd7Sc2 crystal, from Alexandria.

Output
Size of the total moment ... 0.0 Bohr magnetons per cell
Symmetry ... No. 12

CIF file:
```
data_Tb2Nd7Sc2
_cell_length_a 7.9901
_cell_length_b 7.9901
_cell_length_c 6.1235
_cell_angle_alpha 104.54
_cell_angle_beta 104.54
_cell_angle_gamma 92.97
_symmetry_space_group_name_H-M 'P 1'
_symmetry_Int_Tables_number 1
_symmetry_space_group_name_Hall 'P 1'
loop_
_atom_site_label
_atom_site_type_symbol
_atom_site_fract_x
_atom_site_fract_y
_atom_site_fract_z
_atom_site_occupancy
Tb1 Tb 0.2114 0.2114 0.0829 1
Tb2 Tb 0.7886 0.7886 0.9171 1
Nd1 Nd 0.0000 0.0000 0.5000 1
Nd2 Nd 0.0579 0.5803 0.3089 1
Nd3 Nd 0.4197 0.9421 0.6911 1
Nd4 Nd 0.4220 0.4220 0.7044 1
Nd5 Nd 0.5780 0.5780 0.2956 1
Nd6 Nd 0.5803 0.0579 0.3089 1
Nd7 Nd 0.9421 0.4197 0.6911 1
Sc1 Sc 0.2246 0.7754 0.0000 1
Sc2 Sc 0.7754 0.2246 0.0000 1
```

two.
The following is a PBE-GGA calculation of a relaxed Tb2Nd7Sc2 crystal, from Alexandria.

Output
Size of the total moment ... 0.0 Bohr magnetons per cell
Symmetry ... No. 12

CIF file:
```
data_Tb2Nd7Sc2
_cell_length_a 6.8796
_cell_length_b 6.8796
_cell_length_c 8.1902
_cell_angle_alpha 97.85
_cell_angle_beta 97.85
_cell_angle_gamma 104.20
_symmetry_space_group_name_H-M 'P 1'
_symmetry_Int_Tables_number 1
_symmetry_space_group_name_Hall 'P 1'
loop_
_atom_site_label
_atom_site_type_symbol
_atom_site_fract_x
_atom_site_fract_y
_atom_site_fract_z
_atom_site_occupancy
Tb1 Tb 0.0794 0.0794 0.3184 1
Tb2 Tb 0.9206 0.9206 0.6816 1
Nd1 Nd 0.0157 0.5826 0.3208 1
Nd2 Nd 0.2977 0.2977 0.0152 1
Nd3 Nd 0.4174 0.9843 0.6792 1
Nd4 Nd 0.5000 0.5000 0.5000 1
Nd5 Nd 0.5826 0.0157 0.3208 1
Nd6 Nd 0.7023 0.7023 0.9848 1
Nd7 Nd 0.9843 0.4174 0.6792 1
Sc1 Sc 0.2113 0.7887 0.0000 1
Sc2 Sc 0.7887 0.2113 0.0000 1
```

Energies relative to the most stable structure are one 0.011; two 0.000, reported in eV/atom.

one.
The following is a PBE-GGA calculation of a relaxed Tb5NdSc4 crystal, from Alexandria.

Output
Size of the total moment ... 0.0 Bohr magnetons per cell
Symmetry ... No. 71

CIF file:
```
data_Tb5NdSc4
_cell_length_a 8.0344
_cell_length_b 8.0344
_cell_length_c 8.0344
_cell_angle_alpha 140.77
_cell_angle_beta 101.28
_cell_angle_gamma 91.71
_symmetry_space_group_name_H-M 'P 1'
_symmetry_Int_Tables_number 1
_symmetry_space_group_name_Hall 'P 1'
loop_
_atom_site_label
_atom_site_type_symbol
_atom_site_fract_x
_atom_site_fract_y
_atom_site_fract_z
_atom_site_occupancy
Tb1 Tb 0.0000 0.0000 0.0000 1
Tb2 Tb 0.0989 0.7982 0.3007 1
Tb3 Tb 0.4974 0.7982 0.6993 1
Tb4 Tb 0.5026 0.2018 0.3007 1
Tb5 Tb 0.9011 0.2018 0.6993 1
Nd1 Nd 0.5000 0.0000 0.5000 1
Sc1 Sc 0.2549 0.5000 0.7549 1
Sc2 Sc 0.3073 0.3073 0.0000 1
Sc3 Sc 0.6927 0.6927 0.0000 1
Sc4 Sc 0.7451 0.5000 0.2451 1
```

two.
The following is a PBE-GGA calculation of a relaxed Tb5NdSc4 crystal, from Alexandria.

Output
Size of the total moment ... 0.0 Bohr magnetons per cell
Symmetry ... No. 79

CIF file:
```
data_Tb5NdSc4
_cell_length_a 7.6224
_cell_length_b 7.6224
_cell_length_c 7.6224
_cell_angle_alpha 99.50
_cell_angle_beta 99.50
_cell_angle_gamma 132.05
_symmetry_space_group_name_H-M 'P 1'
_symmetry_Int_Tables_number 1
_symmetry_space_group_name_Hall 'P 1'
loop_
_atom_site_label
_atom_site_type_symbol
_atom_site_fract_x
_atom_site_fract_y
_atom_site_fract_z
_atom_site_occupancy
Tb1 Tb 0.0000 0.0000 0.0000 1
Tb2 Tb 0.4815 0.5806 0.6064 1
Tb3 Tb 0.5806 0.9743 0.0991 1
Tb4 Tb 0.8752 0.4815 0.9009 1
Tb5 Tb 0.9743 0.8752 0.3936 1
Nd1 Nd 0.4560 0.4560 0.0000 1
Sc1 Sc 0.1685 0.5847 0.3014 1
Sc2 Sc 0.2833 0.8671 0.6986 1
Sc3 Sc 0.5847 0.2833 0.4162 1
Sc4 Sc 0.8671 0.1685 0.5838 1
```

Energies relative to the most stable structure are one 0.000; two 0.056, reported in eV/atom.

one.
The following is a PBE-GGA calculation of a relaxed Tb4Nd2Sc crystal, from Alexandria.

Output
Size of the total moment ... 0.0 Bohr magnetons per cell
Symmetry ... No. 63

CIF file:
```
data_Tb4Nd2Sc
_cell_length_a 6.9460
_cell_length_b 6.9460
_cell_length_c 11.1030
_cell_angle_alpha 90.00
_cell_angle_beta 90.00
_cell_angle_gamma 121.92
_symmetry_space_group_name_H-M 'P 1'
_symmetry_Int_Tables_number 1
_symmetry_space_group_name_Hall 'P 1'
loop_
_atom_site_label
_atom_site_type_symbol
_atom_site_fract_x
_atom_site_fract_y
_atom_site_fract_z
_atom_site_occupancy
Tb1 Tb 0.2203 0.7797 0.5462 1
Tb2 Tb 0.2203 0.7797 0.9538 1
Tb3 Tb 0.2804 0.2804 0.0000 1
Tb4 Tb 0.2804 0.2804 0.5000 1
Tb5 Tb 0.7196 0.7196 0.0000 1
Tb6 Tb 0.7196 0.7196 0.5000 1
Tb7 Tb 0.7797 0.2203 0.0462 1
Tb8 Tb 0.7797 0.2203 0.4538 1
Nd1 Nd 0.0394 0.9606 0.2500 1
Nd2 Nd 0.3261 0.6739 0.2500 1
Nd3 Nd 0.6739 0.3261 0.7500 1
Nd4 Nd 0.9606 0.0394 0.7500 1
Sc1 Sc 0.3983 0.6017 0.7500 1
Sc2 Sc 0.6017 0.3983 0.2500 1
```

two.
The following is a PBE-GGA calculation of a relaxed Tb4Nd2Sc crystal, from Alexandria.

Output
Size of the total moment ... 0.9 Bohr magnetons per cell
Symmetry ... No. 139

CIF file:
```
data_Tb4Nd2Sc
_cell_length_a 9.5002
_cell_length_b 9.5002
_cell_length_c 9.5002
_cell_angle_alpha 147.09
_cell_angle_beta 147.09
_cell_angle_gamma 47.23
_symmetry_space_group_name_H-M 'P 1'
_symmetry_Int_Tables_number 1
_symmetry_space_group_name_Hall 'P 1'
loop_
_atom_site_label
_atom_site_type_symbol
_atom_site_fract_x
_atom_site_fract_y
_atom_site_fract_z
_atom_site_occupancy
Tb1 Tb 0.0000 0.5000 0.5000 1
Tb2 Tb 0.1754 0.1754 0.0000 1
Tb3 Tb 0.5000 0.0000 0.5000 1
Tb4 Tb 0.8246 0.8246 0.0000 1
Nd1 Nd 0.3737 0.3737 0.0000 1
Nd2 Nd 0.6263 0.6263 0.0000 1
Sc1 Sc 0.0000 0.0000 0.0000 1
```

Energies relative to the most stable structure are one 0.000; two 0.366, reported in eV/atom.

one.
The following is a PBE-GGA calculation of a relaxed TbNd8Sc2 crystal, from Alexandria.

Output
Size of the total moment ... 0.0 Bohr magnetons per cell
Symmetry ... No. 12

CIF file:
```
data_TbNd8Sc2
_cell_length_a 9.2786
_cell_length_b 9.2786
_cell_length_c 5.9134
_cell_angle_alpha 105.00
_cell_angle_beta 105.00
_cell_angle_gamma 121.62
_symmetry_space_group_name_H-M 'P 1'
_symmetry_Int_Tables_number 1
_symmetry_space_group_name_Hall 'P 1'
loop_
_atom_site_label
_atom_site_type_symbol
_atom_site_fract_x
_atom_site_fract_y
_atom_site_fract_z
_atom_site_occupancy
Tb1 Tb 0.0000 0.0000 0.0000 1
Nd1 Nd 0.0966 0.3359 0.6716 1
Nd2 Nd 0.2083 0.7917 0.0000 1
Nd3 Nd 0.3359 0.0966 0.6716 1
Nd4 Nd 0.4199 0.4199 0.2058 1
Nd5 Nd 0.5801 0.5801 0.7942 1
Nd6 Nd 0.6641 0.9034 0.3284 1
Nd7 Nd 0.7917 0.2083 0.0000 1
Nd8 Nd 0.9034 0.6641 0.3284 1
Sc1 Sc 0.3099 0.6901 0.5000 1
Sc2 Sc 0.6901 0.3099 0.5000 1
```

two.
The following is a PBE-GGA calculation of a relaxed TbNd8Sc2 crystal, from Alexandria.

Output
Size of the total moment ... 0.0 Bohr magnetons per cell
Symmetry ... No. 71

CIF file:
```
data_TbNd8Sc2
_cell_length_a 9.3467
_cell_length_b 9.3467
_cell_length_c 9.3467
_cell_angle_alpha 145.51
_cell_angle_beta 126.30
_cell_angle_gamma 65.40
_symmetry_space_group_name_H-M 'P 1'
_symmetry_Int_Tables_number 1
_symmetry_space_group_name_Hall 'P 1'
loop_
_atom_site_label
_atom_site_type_symbol
_atom_site_fract_x
_atom_site_fract_y
_atom_site_fract_z
_atom_site_occupancy
Tb1 Tb 0.0000 0.0000 0.0000 1
Nd1 Nd 0.1539 0.8564 0.2975 1
Nd2 Nd 0.1607 0.6607 0.5000 1
Nd3 Nd 0.3008 0.5000 0.8008 1
Nd4 Nd 0.4410 0.1436 0.2975 1
Nd5 Nd 0.5590 0.8564 0.7025 1
Nd6 Nd 0.6992 0.5000 0.1992 1
Nd7 Nd 0.8393 0.3393 0.5000 1
Nd8 Nd 0.8461 0.1436 0.7025 1
Sc1 Sc 0.2991 0.2991 0.0000 1
Sc2 Sc 0.7009 0.7009 0.0000 1
```

Energies relative to the most stable structure are one 0.034; two 0.000, reported in eV/atom.